# 1
DFT (PBE) results for a relaxed structure of TlPd2PtF.

## Properties
The space group is P4/mmm, No. 123. The uncorrected formation energy is 0.0837 eV/atom. As for the total moment: 0.000 μB per formula unit. The crystal system is tetragonal.

Cell lengths 4.2775, 4.2775, 4.8300 Å; angles 90.00, 90.00, 90.00 degrees
Positions (direct):
Tl1 0.0000 0.0000 0.0000
Pd1 0.0000 0.5000 0.5000
Pd2 0.5000 0.0000 0.5000
Pt1 0.5000 0.5000 0.0000
F1 0.0000 0.0000 0.5000

***

# 2
DFT (PBE) results for a relaxed structure of Mn3ReN.

## Properties
The space group is Pm-3m, No. 221. The uncorrected formation energy is -0.0558 eV/atom. As for the total moment: 0.000 μB per formula unit. The crystal system is cubic. The energy above the lowest structure with this stoichiometry comes out at 0 meV per atom.

Cell lengths 3.7627, 3.7627, 3.7627 Å; angles 90.00, 90.00, 90.00 degrees
Positions (direct):
Mn1 0.0000 0.0000 0.5000
Mn2 0.0000 0.5000 0.0000
Mn3 0.5000 0.0000 0.0000
Re1 0.5000 0.5000 0.5000
N1 0.0000 0.0000 0.0000

***

# 3
DFT (PBE) results for a relaxed structure of Mn2TeBr8.

## Properties
The space group is P-3m1, No. 164. The uncorrected formation energy is -0.4344 eV/atom. As for the total moment: 10.000 μB per formula unit. The crystal system is trigonal.

Cell lengths 8.0504, 8.0504, 7.8805 Å; angles 90.00, 90.00, 120.00 degrees
Positions (direct):
Mn1 0.3333 0.6667 0.2244
Mn2 0.6667 0.3333 0.7756
Te1 0.0000 0.0000 0.5000
Br1 0.1547 0.3093 0.2763
Br2 0.1547 0.8453 0.2763
Br3 0.3093 0.1547 0.7237
Br4 0.3333 0.6667 0.9260
Br5 0.6667 0.3333 0.0740
Br6 0.6907 0.8453 0.2763
Br7 0.8453 0.1547 0.7237
Br8 0.8453 0.6907 0.7237

***

# 4
DFT (PBE) results for a relaxed structure of NbTl3Bi.

## Properties
The space group is Pm-3m, No. 221. The value obtained for the energy of formation is 0.7205 eV per atom. As for the total moment: 0.000 μB per formula unit. The crystal system is cubic. The energy above the lowest structure with this stoichiometry comes out at 0 meV per atom.

Cell lengths 5.5288, 5.5288, 5.5288 Å; angles 90.00, 90.00, 90.00 degrees
Positions (direct):
Nb1 0.0000 0.0000 0.0000
Tl1 0.0000 0.0000 0.5000
Tl2 0.0000 0.5000 0.0000
Tl3 0.5000 0.0000 0.0000
Bi1 0.5000 0.5000 0.5000

***

# 5
DFT (PBE) results for a relaxed structure of Pm3Tm4Hg4.

## Properties
The space group is Immm, No. 71. The value obtained for the energy of formation is -0.2934 eV per atom. As for the total moment: 0.000 μB per formula unit. The crystal system is orthorhombic.

Cell lengths 9.4155, 9.4155, 9.4155 Å; angles 149.61, 131.23, 58.56 degrees
Positions (direct):
Pm1 0.0000 0.0000 0.0000
Pm2 0.3900 0.8900 0.5000
Pm3 0.6100 0.1100 0.5000
Tm1 0.0396 0.3252 0.7144
Tm2 0.3892 0.6748 0.7144
Tm3 0.6108 0.3252 0.2856
Tm4 0.9604 0.6748 0.2856
Hg1 0.2085 0.2085 0.0000
Hg2 0.3019 0.5000 0.8019
Hg3 0.6981 0.5000 0.1981
Hg4 0.7915 0.7915 0.0000

***

# 6
DFT (PBE) results for a relaxed structure of MgSiP2O.

## Properties
The space group is P4/mmm, No. 123. The uncorrected formation energy is -0.4011 eV/atom. As for the total moment: 0.000 μB per formula unit. The crystal system is tetragonal. The energy above the lowest structure with this stoichiometry comes out at 0 meV per atom.

Cell lengths 4.9142, 4.9142, 3.2497 Å; angles 90.00, 90.00, 90.00 degrees
Positions (direct):
Mg1 0.0000 0.0000 0.0000
Si1 0.5000 0.5000 0.5000
P1 0.0000 0.5000 0.5000
P2 0.5000 0.0000 0.5000
O1 0.5000 0.5000 0.0000

***

# 7
DFT (PBE) results for a relaxed structure of ThSc2Te.

## Properties
The space group is P4/nmm, No. 129. The uncorrected formation energy is -0.4790 eV/atom. As for the total moment: 0.000 μB per formula unit. The crystal system is tetragonal. The energy above the lowest structure with this stoichiometry comes out at 41 meV per atom.

Cell lengths 3.8199, 3.8199, 15.4134 Å; angles 90.00, 90.00, 90.00 degrees
Positions (direct):
Th1 0.2500 0.2500 0.0725
Th2 0.7500 0.7500 0.9275
Sc1 0.2500 0.2500 0.3245
Sc2 0.2500 0.2500 0.7974
Sc3 0.7500 0.7500 0.2026
Sc4 0.7500 0.7500 0.6755
Te1 0.2500 0.2500 0.6017
Te2 0.7500 0.7500 0.3983